1.
The following is a PBE-GGA calculation of an optimized crystal structure of Tb2ScH, from Alexandria via LeMat-Bulk.

Lattice parameters (Å, degrees): 3.277 3.277 8.174 90.00 90.00 90.00
Atoms (fractional coordinates):
Sc  0.500  0.500  0.500
H  0.500  0.500  0.000
Tb  0.000  0.000  0.802
Tb  0.000  0.000  0.198

Summary:
Its total energy is -4.644 eV/atom. The polymorph energy (0 for the lowest one) comes out at 240.0 meV/atom. The space group is P4/mmm, No. 123. For the volume, the calculation gives 21.946 Å³/atom. As for the total magnetization: 0.0 μB per cell.


2.
The following is a PBE-GGA calculation of an optimized crystal structure of TbSc2H, from Alexandria via LeMat-Bulk.

Lattice parameters (Å, degrees): 3.146 3.146 8.108 90.00 90.00 90.00
Atoms (fractional coordinates):
Sc  0.000  0.000  0.816
Sc  0.000  0.000  0.184
H  0.500  0.500  0.000
Tb  0.500  0.500  0.500

Summary:
Its total energy is -4.990 eV/atom. The polymorph energy (0 for the lowest one) comes out at 359.2 meV/atom. The space group is P4/mmm, No. 123. For the volume, the calculation gives 20.067 Å³/atom. As for the total magnetization: 0.0 μB per cell.


3.
The following is a PBE-GGA calculation of an optimized crystal structure of Tb2ScH, from Alexandria via LeMat-Bulk.

Lattice parameters (Å, degrees): 3.542 3.542 8.459 77.91 77.91 60.00
Atoms (fractional coordinates):
Sc  0.500  0.500  0.500
H  0.000  0.000  0.000
Tb  0.724  0.724  0.829
Tb  0.276  0.276  0.171

Summary:
Its total energy is -4.884 eV/atom. The polymorph energy (0 for the lowest one) comes out at 0.0 meV/atom. The space group is R-3m, No. 166. For the volume, the calculation gives 22.298 Å³/atom. As for the total magnetization: 0.0 μB per cell.


4.
The following is a PBE-GGA calculation of an optimized crystal structure of ScTcH3, from Alexandria via LeMat-Bulk.

Lattice parameters (Å, degrees): 3.528 3.528 3.528 90.00 90.00 90.00
Atoms (fractional coordinates):
Sc  0.500  0.500  0.500
H  0.000  0.500  0.000
H  0.000  0.000  0.500
H  0.500  0.000  0.000
Tc  0.000  0.000  0.000

Summary:
Its total energy is -5.656 eV/atom. The polymorph energy (0 for the lowest one) comes out at 3.5 meV/atom. The space group is Pm-3m, No. 221. For the volume, the calculation gives 8.785 Å³/atom. As for the total magnetization: 0.0 μB per cell.


5.
The following is a PBE-GGA calculation of an optimized crystal structure of Sc5Tc3H12, from Alexandria via LeMat-Bulk.

Lattice parameters (Å, degrees): 9.822 9.822 9.822 109.47 109.47 109.47
Atoms (fractional coordinates):
Tc  0.750  0.375  0.125
Tc  0.875  0.750  0.125
Tc  0.375  0.750  0.625
Tc  0.250  0.125  0.375
Tc  0.875  0.125  0.250
Tc  0.375  0.625  0.250
Tc  0.625  0.375  0.750
Tc  0.125  0.875  0.750
Tc  0.750  0.875  0.625
Tc  0.625  0.250  0.375
Tc  0.125  0.250  0.875
Tc  0.250  0.625  0.875
Sc  0.125  0.375  0.250
Sc  0.000  0.500  0.000
Sc  0.000  0.000  0.000
Sc  0.375  0.250  0.125
Sc  0.500  0.000  0.500
Sc  0.500  0.500  0.000
Sc  0.125  0.750  0.375
Sc  0.750  0.125  0.875
Sc  0.750  0.625  0.375
Sc  0.375  0.125  0.750
Sc  0.625  0.875  0.250
Sc  0.500  0.500  0.500
Sc  0.500  0.000  0.000
Sc  0.000  0.000  0.500
Sc  0.250  0.375  0.625
Sc  0.250  0.875  0.125
Sc  0.000  0.500  0.500
Sc  0.875  0.250  0.625
Sc  0.625  0.750  0.875
Sc  0.875  0.625  0.750
H  0.737  0.167  0.085
H  0.348  0.585  0.418
H  0.915  0.333  0.263
H  0.585  0.237  0.167
H  0.570  0.737  0.652
H  0.915  0.582  0.152
H  0.348  0.763  0.430
H  0.082  0.930  0.167
H  0.582  0.915  0.652
H  0.737  0.570  0.152
H  0.763  0.415  0.333
H  0.848  0.918  0.085
H  0.167  0.737  0.585
H  0.333  0.418  0.070
H  0.070  0.918  0.333
H  0.430  0.167  0.582
H  0.070  0.152  0.237
H  0.415  0.652  0.082
H  0.848  0.930  0.263
H  0.167  0.430  0.082
H  0.333  0.915  0.763
H  0.582  0.667  0.430
H  0.918  0.848  0.585
H  0.763  0.348  0.930
H  0.418  0.333  0.570
H  0.082  0.152  0.415
H  0.237  0.652  0.070
H  0.152  0.070  0.737
H  0.667  0.085  0.237
H  0.833  0.570  0.918
H  0.585  0.348  0.918
H  0.570  0.833  0.418
H  0.930  0.848  0.763
H  0.930  0.082  0.667
H  0.833  0.263  0.415
H  0.152  0.082  0.915
H  0.667  0.582  0.930
H  0.418  0.085  0.348
H  0.263  0.430  0.848
H  0.237  0.585  0.667
H  0.918  0.070  0.833
H  0.652  0.237  0.570
H  0.415  0.763  0.833
H  0.085  0.418  0.848
H  0.430  0.263  0.348
H  0.085  0.667  0.737
H  0.652  0.415  0.582
H  0.263  0.833  0.915

Summary:
Its total energy is -5.301 eV/atom. The space group is Ia-3d, No. 230. For the volume, the calculation gives 9.117 Å³/atom. As for the total magnetization: 12.1 μB per cell.


6.
The following is a PBE-GGA calculation of an optimized crystal structure of ScTcH3, from Alexandria via LeMat-Bulk.

Lattice parameters (Å, degrees): 3.541 3.541 3.541 90.00 90.00 90.00
Atoms (fractional coordinates):
Sc  0.000  0.000  0.000
H  0.000  0.500  0.000
H  0.000  0.000  0.500
H  0.500  0.000  0.000
Tc  0.500  0.500  0.500

Summary:
Its total energy is -4.991 eV/atom. The polymorph energy (0 for the lowest one) comes out at 669.4 meV/atom. The space group is Pm-3m, No. 221. For the volume, the calculation gives 8.879 Å³/atom. As for the total magnetization: 0.0 μB per cell.


7.
The following is a PBE-GGA calculation of an optimized crystal structure of Sc3TcH, from Alexandria via LeMat-Bulk.

Lattice parameters (Å, degrees): 5.006 5.006 5.006 90.00 90.00 90.00
Atoms (fractional coordinates):
Sc  0.000  0.500  0.000
Sc  0.000  0.000  0.500
Sc  0.500  0.000  0.000
H  0.500  0.500  0.500
Tc  0.000  0.000  0.000

Summary:
Its total energy is -5.902 eV/atom. The polymorph energy (0 for the lowest one) comes out at 757.9 meV/atom. The space group is Pm-3m, No. 221. For the volume, the calculation gives 25.088 Å³/atom. As for the total magnetization: 0.0 μB per cell.


8.
The following is a PBE-GGA calculation of an optimized crystal structure of ScTcH6, from Alexandria via LeMat-Bulk.

Lattice parameters (Å, degrees): 4.329 4.329 6.048 90.00 90.00 90.00
Atoms (fractional coordinates):
Sc  0.000  0.000  0.500
Sc  0.000  0.000  0.000
Tc  0.500  0.500  0.750
Tc  0.500  0.500  0.250
H  0.168  0.273  0.256
H  0.832  0.727  0.256
H  0.727  0.168  0.756
H  0.273  0.832  0.756
H  0.832  0.727  0.744
H  0.168  0.273  0.744
H  0.273  0.832  0.244
H  0.727  0.168  0.244
H  0.499  0.729  0.500
H  0.501  0.271  0.500
H  0.271  0.499  0.000
H  0.729  0.501  0.000

Summary:
Its total energy is -4.756 eV/atom. The space group is P4_2/m, No. 84. For the volume, the calculation gives 7.084 Å³/atom. As for the total magnetization: 0.6 μB per cell.


9.
The following is a PBE-GGA calculation of an optimized crystal structure of Sc2TcH5, from Alexandria via LeMat-Bulk.

Lattice parameters (Å, degrees): 4.685 4.685 4.722 119.74 119.74 90.00
Atoms (fractional coordinates):
Sc  0.258  0.758  0.515
Sc  0.758  0.258  0.515
Tc  0.002  0.002  0.004
H  0.739  0.271  0.010
H  0.271  0.271  0.010
H  0.739  0.739  0.010
H  0.271  0.739  0.010
H  0.739  0.739  0.479

Summary:
Its total energy is -5.483 eV/atom. The space group is I4mm, No. 107. For the volume, the calculation gives 9.231 Å³/atom. As for the total magnetization: 0.0 μB per cell.


10.
The following is a PBE-GGA calculation of an optimized crystal structure of ScTcH3, from Alexandria via LeMat-Bulk.

Lattice parameters (Å, degrees): 4.704 6.137 6.135 106.64 90.00 90.00
Atoms (fractional coordinates):
Sc  0.750  0.620  0.380
Sc  0.250  0.380  0.620
Sc  0.250  0.880  0.120
Sc  0.750  0.120  0.880
Tc  0.245  0.393  0.107
Tc  0.755  0.607  0.893
Tc  0.745  0.107  0.393
Tc  0.255  0.893  0.607
H  0.951  0.273  0.227
H  0.049  0.727  0.773
H  0.451  0.227  0.273
H  0.549  0.773  0.727
H  0.250  0.641  0.359
H  0.750  0.359  0.641
H  0.750  0.859  0.141
H  0.250  0.141  0.859
H  0.865  0.934  0.566
H  0.135  0.066  0.434
H  0.365  0.566  0.934
H  0.635  0.434  0.066

Summary:
Its total energy is -5.660 eV/atom. The polymorph energy (0 for the lowest one) comes out at 0.0 meV/atom. The space group is Cmce, No. 64. For the volume, the calculation gives 8.484 Å³/atom. As for the total magnetization: 0.0 μB per cell.


11.
The following is a PBE-GGA calculation of an optimized crystal structure of ScTcH2, from Alexandria via LeMat-Bulk.

Lattice parameters (Å, degrees): 3.826 3.826 3.826 60.00 60.00 60.00
Atoms (fractional coordinates):
Sc  0.000  0.000  0.000
H  0.250  0.250  0.250
H  0.750  0.750  0.750
Tc  0.500  0.500  0.500

Summary:
Its total energy is -5.579 eV/atom. The polymorph energy (0 for the lowest one) comes out at 472.2 meV/atom. The space group is Fm-3m, No. 225. For the volume, the calculation gives 9.897 Å³/atom. As for the total magnetization: 0.0 μB per cell.


12.
The following is a PBE-GGA calculation of an optimized crystal structure of ScTc3H, from Alexandria via LeMat-Bulk.

Lattice parameters (Å, degrees): 4.029 4.029 4.029 90.00 90.00 90.00
Atoms (fractional coordinates):
Sc  0.500  0.500  0.500
H  0.000  0.000  0.000
Tc  0.000  0.500  0.000
Tc  0.000  0.000  0.500
Tc  0.500  0.000  0.000

Summary:
Its total energy is -8.064 eV/atom. The polymorph energy (0 for the lowest one) comes out at 0.0 meV/atom. The space group is Pm-3m, No. 221. For the volume, the calculation gives 13.084 Å³/atom. As for the total magnetization: 0.0 μB per cell.


13.
The following is a PBE-GGA calculation of an optimized crystal structure of Sc2TcH4, from Alexandria via LeMat-Bulk.

Lattice parameters (Å, degrees): 3.501 3.501 6.070 73.24 73.24 90.00
Atoms (fractional coordinates):
Sc  0.347  0.347  0.305
Sc  0.653  0.653  0.695
H  0.162  0.162  0.675
H  0.838  0.838  0.325
H  0.000  0.500  0.000
H  0.500  0.000  0.000
Tc  0.000  0.000  0.000

Summary:
Its total energy is -5.537 eV/atom. The space group is I4/mmm, No. 139. For the volume, the calculation gives 9.705 Å³/atom. As for the total magnetization: 0.8 μB per cell.


14.
The following is a PBE-GGA calculation of an optimized crystal structure of ScTcH, from Alexandria via LeMat-Bulk.

Lattice parameters (Å, degrees): 3.417 3.417 7.426 90.00 90.00 89.99
Atoms (fractional coordinates):
Sc  0.338  0.838  0.170
Sc  0.838  0.338  0.830
H  0.332  0.832  0.891
H  0.832  0.332  0.109
Tc  0.839  0.839  0.500
Tc  0.339  0.339  0.500

Summary:
Its total energy is -6.697 eV/atom. The space group is Aem2, No. 39. For the volume, the calculation gives 14.449 Å³/atom. As for the total magnetization: 1.1 μB per cell.


15.
The following is a PBE-GGA calculation of an optimized crystal structure of ScTcH5, from Alexandria via LeMat-Bulk.

Lattice parameters (Å, degrees): 3.222 3.222 8.952 89.98 89.98 90.00
Atoms (fractional coordinates):
Sc  0.500  0.500  0.750
Sc  0.500  0.500  0.250
Tc  0.000  0.000  0.000
Tc  0.000  0.000  0.500
H  0.500  0.000  0.895
H  0.500  0.000  0.395
H  0.000  0.500  0.395
H  0.000  0.000  0.750
H  0.000  0.500  0.105
H  0.000  0.500  0.895
H  0.000  0.000  0.250
H  0.000  0.500  0.605
H  0.500  0.000  0.605
H  0.500  0.000  0.105

Summary:
Its total energy is -4.964 eV/atom. The space group is P4/mmm, No. 123. For the volume, the calculation gives 6.639 Å³/atom. As for the total magnetization: 0.0 μB per cell.


16.
The following is a PBE-GGA calculation of an optimized crystal structure of ScTcH4, from Alexandria via LeMat-Bulk.

Lattice parameters (Å, degrees): 4.129 4.976 5.255 104.51 90.00 114.51
Atoms (fractional coordinates):
Sc  0.232  0.000  0.250
Sc  0.768  0.000  0.750
Tc  0.500  0.500  0.000
Tc  0.000  0.500  0.500
H  0.088  0.376  0.155
H  0.712  0.624  0.345
H  0.912  0.624  0.845
H  0.288  0.376  0.655
H  0.263  0.889  0.584
H  0.374  0.111  0.916
H  0.737  0.111  0.416
H  0.626  0.889  0.084

Summary:
Its total energy is -5.296 eV/atom. The polymorph energy (0 for the lowest one) comes out at 0.0 meV/atom. The space group is C2/c, No. 15. For the volume, the calculation gives 7.868 Å³/atom. As for the total magnetization: 0.0 μB per cell.


17.
The following is a PBE-GGA calculation of an optimized crystal structure of Sc3TcH, from Alexandria via LeMat-Bulk.

Lattice parameters (Å, degrees): 4.323 4.323 4.323 90.00 90.00 90.00
Atoms (fractional coordinates):
Sc  0.000  0.500  0.000
Sc  0.000  0.000  0.500
Sc  0.500  0.000  0.000
H  0.000  0.000  0.000
Tc  0.500  0.500  0.500

Summary:
Its total energy is -6.660 eV/atom. The polymorph energy (0 for the lowest one) comes out at 0.0 meV/atom. The space group is Pm-3m, No. 221. For the volume, the calculation gives 16.155 Å³/atom. As for the total magnetization: 0.0 μB per cell.


18.
The following is a PBE-GGA calculation of an optimized crystal structure of ScTcH4, from Alexandria via LeMat-Bulk.

Lattice parameters (Å, degrees): 3.391 3.391 8.807 90.00 90.00 70.93
Atoms (fractional coordinates):
Sc  0.954  0.046  0.500
Sc  0.954  0.046  0.000
Tc  0.617  0.695  0.250
Tc  0.305  0.383  0.750
H  0.864  0.182  0.750
H  0.599  0.693  0.053
H  0.599  0.693  0.447
H  0.307  0.401  0.553
H  0.307  0.401  0.947
H  0.513  0.836  0.750
H  0.818  0.136  0.250
H  0.164  0.487  0.250

Summary:
Its total energy is -5.285 eV/atom. The polymorph energy (0 for the lowest one) comes out at 11.2 meV/atom. The space group is Ama2, No. 40. For the volume, the calculation gives 7.977 Å³/atom. As for the total magnetization: 0.0 μB per cell.


19.
The following is a PBE-GGA calculation of an optimized crystal structure of ScTcH2, from Alexandria via LeMat-Bulk.

Lattice parameters (Å, degrees): 4.090 4.090 5.768 69.24 69.24 90.00
Atoms (fractional coordinates):
Sc  0.500  0.500  0.000
Sc  0.250  0.750  0.500
H  0.681  0.125  0.250
H  0.069  0.625  0.250
H  0.375  0.319  0.750
H  0.875  0.931  0.750
Tc  0.000  0.000  0.000
Tc  0.750  0.250  0.500

Summary:
Its total energy is -6.051 eV/atom. The polymorph energy (0 for the lowest one) comes out at 0.0 meV/atom. The space group is I-42d, No. 122. For the volume, the calculation gives 10.434 Å³/atom. As for the total magnetization: 0.0 μB per cell.


20.
The following is a PBE-GGA calculation of an optimized crystal structure of ScTc3H, from Alexandria via LeMat-Bulk.

Lattice parameters (Å, degrees): 4.663 4.663 4.663 90.00 90.00 90.00
Atoms (fractional coordinates):
Sc  0.000  0.000  0.000
H  0.500  0.500  0.500
Tc  0.000  0.500  0.000
Tc  0.000  0.000  0.500
Tc  0.500  0.000  0.000

Summary:
Its total energy is -5.542 eV/atom. The polymorph energy (0 for the lowest one) comes out at 2521.4 meV/atom. The space group is Pm-3m, No. 221. For the volume, the calculation gives 20.280 Å³/atom. As for the total magnetization: 3.9 μB per cell.